The following is a PBE-GGA calculation of an optimized crystal structure of AlNiP2, from Alexandria via LeMat-Bulk.

Values from the calculation:
- crystal system = cubic
- formation energy (eV/atom) = 0.2753

a b c (Å): 6.0000 6.0000 6.0000
angles (deg): 90.00 90.00 90.00
Element x y z (fractional)
Al: 0.0000 0.0000 0.0000
Al: 0.0000 0.5000 0.5000
Al: 0.5000 0.0000 0.5000
Al: 0.5000 0.5000 0.0000
Ni: 0.2500 0.2500 0.7500
Ni: 0.2500 0.7500 0.2500
Ni: 0.7500 0.2500 0.2500
Ni: 0.7500 0.7500 0.7500
P: 0.0000 0.0000 0.5000
P: 0.0000 0.5000 0.0000
P: 0.2500 0.2500 0.2500
P: 0.2500 0.7500 0.7500
P: 0.5000 0.0000 0.0000
P: 0.5000 0.5000 0.5000
P: 0.7500 0.2500 0.7500
P: 0.7500 0.7500 0.2500



The following is a PBE-GGA calculation of an optimized crystal structure of OsPt2Pb, from Alexandria via LeMat-Bulk.

Values from the calculation:
- crystal system = orthorhombic
- formation energy (eV/atom) = 0.3445

a b c (Å): 2.8562 3.6749 7.0277
angles (deg): 90.00 90.00 90.00
Element x y z (fractional)
Os: 0.0000 0.0000 0.0000
Pt: 0.5000 0.5000 0.2012
Pt: 0.5000 0.5000 0.7988
Pb: 0.0000 0.0000 0.5000



The following is a PBE-GGA calculation of an optimized crystal structure of NaPtNF2, from Alexandria via LeMat-Bulk.

Values from the calculation:
- formation energy from raw total energies (meV per atom) = 458
- crystal system = tetragonal

a b c (Å): 3.9012 3.9012 4.5210
angles (deg): 90.00 90.00 90.00
Element x y z (fractional)
Na: 0.0000 0.0000 0.0000
Pt: 0.5000 0.5000 0.5000
N: 0.0000 0.0000 0.5000
F: 0.0000 0.5000 0.0000
F: 0.5000 0.0000 0.0000



The following is a PBE-GGA calculation of an optimized crystal structure of Tl2Ga2Au, from Alexandria via LeMat-Bulk.

Values from the calculation:
- crystal system = tetragonal
- formation energy (eV/atom) = -0.0464

a b c (Å): 6.7945 6.7945 5.1657
angles (deg): 90.00 90.00 90.00
Element x y z (fractional)
Tl: 0.1801 0.3199 0.0000
Tl: 0.3199 0.8199 0.0000
Tl: 0.6801 0.1801 0.0000
Tl: 0.8199 0.6801 0.0000
Ga: 0.1374 0.6374 0.5000
Ga: 0.3626 0.1374 0.5000
Ga: 0.6374 0.8626 0.5000
Ga: 0.8626 0.3626 0.5000
Au: 0.0000 0.0000 0.5000
Au: 0.5000 0.5000 0.5000



The following is a PBE-GGA calculation of an optimized crystal structure of Y6Co2Sb, from Alexandria via LeMat-Bulk.

Values from the calculation:
- formation energy from raw total energies (meV per atom) = -374
- crystal system = orthorhombic

a b c (Å): 8.4159 8.4159 8.4159
angles (deg): 111.77 110.07 106.62
Element x y z (fractional)
Y: 0.0304 0.2354 0.7949
Y: 0.1832 0.2841 0.4673
Y: 0.1832 0.7159 0.8991
Y: 0.3249 0.0087 0.6838
Y: 0.3249 0.6410 0.3162
Y: 0.4405 0.2354 0.2051
Y: 0.5595 0.7646 0.7949
Y: 0.6751 0.3590 0.6838
Y: 0.6751 0.9913 0.3162
Y: 0.8168 0.2841 0.1009
Y: 0.8168 0.7159 0.5327
Y: 0.9696 0.7646 0.2051
Co: 0.1112 0.6112 0.5000
Co: 0.3419 0.0000 0.3419
Co: 0.6581 0.0000 0.6581
Co: 0.8888 0.3888 0.5000
Sb: 0.0000 0.0000 0.0000
Sb: 0.5000 0.5000 0.0000



The following is a PBE-GGA calculation of an optimized crystal structure of NaFe2Cl5, from Alexandria via LeMat-Bulk.

Values from the calculation:
- formation energy from raw total energies (meV per atom) = -885
- crystal system = orthorhombic

a b c (Å): 7.2346 7.2346 15.1900
angles (deg): 90.00 90.00 146.00
Element x y z (fractional)
Na: 0.0780 0.9220 0.7500
Na: 0.9220 0.0780 0.2500
Fe: 0.2158 0.7842 0.0990
Fe: 0.2158 0.7842 0.4010
Fe: 0.7842 0.2158 0.5990
Fe: 0.7842 0.2158 0.9010
Cl: 0.0592 0.9408 0.1222
Cl: 0.0592 0.9408 0.3778
Cl: 0.2035 0.7965 0.5707
Cl: 0.2035 0.7965 0.9293
Cl: 0.2930 0.7070 0.2500
Cl: 0.7070 0.2930 0.7500
Cl: 0.7965 0.2035 0.0707
Cl: 0.7965 0.2035 0.4293
Cl: 0.9408 0.0592 0.6222
Cl: 0.9408 0.0592 0.8778



The following is a PBE-GGA calculation of an optimized crystal structure of SrCdRu2, from Alexandria via LeMat-Bulk.

Values from the calculation:
- crystal system = trigonal
- formation energy (eV/atom) = 0.8194

a b c (Å): 3.0385 3.0385 28.6929
angles (deg): 90.00 90.00 120.00
Element x y z (fractional)
Sr: 0.0000 0.0000 0.0000
Sr: 0.3333 0.6667 0.6667
Sr: 0.6667 0.3333 0.3333
Cd: 0.0000 0.0000 0.5000
Cd: 0.3333 0.6667 0.1667
Cd: 0.6667 0.3333 0.8333
Ru: 0.0000 0.0000 0.2447
Ru: 0.0000 0.0000 0.7553
Ru: 0.3333 0.6667 0.4220
Ru: 0.3333 0.6667 0.9114
Ru: 0.6667 0.3333 0.0886
Ru: 0.6667 0.3333 0.5780



The following is a PBE-GGA calculation of an optimized crystal structure of CaCd2B, from Alexandria via LeMat-Bulk.

Values from the calculation:
- crystal system = tetragonal
- formation energy (eV/atom) = 0.5217

a b c (Å): 5.2747 5.2747 14.8126
angles (deg): 90.00 90.00 90.00
Element x y z (fractional)
Ca: 0.0000 0.0000 0.0000
Ca: 0.0000 0.5000 0.2500
Ca: 0.5000 0.0000 0.7500
Ca: 0.5000 0.5000 0.5000
Cd: 0.0499 0.2500 0.6250
Cd: 0.2500 0.5499 0.8750
Cd: 0.2500 0.9501 0.3750
Cd: 0.4501 0.2500 0.1250
Cd: 0.5499 0.7500 0.1250
Cd: 0.7500 0.0499 0.3750
Cd: 0.7500 0.4501 0.8750
Cd: 0.9501 0.7500 0.6250
B: 0.0000 0.0000 0.5000
B: 0.0000 0.5000 0.7500
B: 0.5000 0.0000 0.2500
B: 0.5000 0.5000 0.0000



The following is a PBE-GGA calculation of an optimized crystal structure of LiZnSbI2, from Alexandria via LeMat-Bulk.

Values from the calculation:
- formation energy from raw total energies (meV per atom) = 192
- crystal system = tetragonal

a b c (Å): 5.4773 5.4773 5.2211
angles (deg): 90.00 90.00 90.00
Element x y z (fractional)
Li: 0.0000 0.0000 0.0000
Zn: 0.5000 0.5000 0.5000
Sb: 0.0000 0.0000 0.5000
I: 0.0000 0.5000 0.0000
I: 0.5000 0.0000 0.0000



The following is a PBE-GGA calculation of an optimized crystal structure of Dy4GeSe3, from Alexandria via LeMat-Bulk.

Values from the calculation:
- formation energy from raw total energies (meV per atom) = -1618
- crystal system = orthorhombic

a b c (Å): 8.2235 11.6229 4.1026
angles (deg): 90.00 90.00 90.00
Element x y z (fractional)
Dy: 0.0000 0.2429 0.0000
Dy: 0.0000 0.7571 0.0000
Dy: 0.2391 0.0000 0.5000
Dy: 0.2609 0.5000 0.5000
Dy: 0.5000 0.2571 0.0000
Dy: 0.5000 0.7429 0.0000
Dy: 0.7391 0.5000 0.5000
Dy: 0.7609 0.0000 0.5000
Ge: 0.0000 0.0000 0.0000
Ge: 0.5000 0.5000 0.0000
Se: 0.0000 0.5000 0.0000
Se: 0.2500 0.2500 0.5000
Se: 0.2500 0.7500 0.5000
Se: 0.5000 0.0000 0.0000
Se: 0.7500 0.2500 0.5000
Se: 0.7500 0.7500 0.5000



Number 1: total moment 0.00 μB per atom, volume 13.50 Å³ per atom. Number 2: total moment 0.00 μB per atom, volume 18.44 Å³ per atom. Number 3: total moment 0.58 μB per atom, volume 13.76 Å³ per atom. Number 4: total moment 0.00 μB per atom, volume 23.85 Å³ per atom. Number 5: total moment 0.00 μB per atom, volume 25.44 Å³ per atom. Number 6: total moment 1.00 μB per atom, volume 27.78 Å³ per atom. Number 7: total moment 0.17 μB per atom, volume 19.12 Å³ per atom. Number 8: total moment 0.00 μB per atom, volume 25.76 Å³ per atom. Number 9: total moment 0.00 μB per atom, volume 31.33 Å³ per atom. Number 10: total moment 0.00 μB per atom, volume 24.51 Å³ per atom.